Computed, not measured: an optimized crystal structure of SrV2Ni2O8 at the PBE+U level of DFT.

a = 8.481 Å, b = 9.704 Å, c = 9.704 Å
α = 78.99°, β = 64.09°, γ = 64.09°
Each line ends with the local moment (μB).
Sites, in units of the cell vectors:
Sr1 0.981 0.000 0.000  0.00
Sr2 0.731 0.500 0.500  0.00
Sr3 0.231 0.500 0.500  0.00
Sr4 0.481 0.000 0.000  0.00
V1 0.638 0.181 0.341  0.10
V2 0.729 0.159 0.681  0.10
V3 0.569 0.841 0.319  0.10
V4 0.160 0.819 0.659  0.10
V5 0.069 0.319 0.841  0.10
V6 0.229 0.681 0.159  0.10
V7 0.138 0.341 0.181  0.10
V8 0.660 0.659 0.819  0.10
Ni1 0.440 0.996 0.663  1.77
Ni2 0.853 0.837 0.496  1.77
Ni3 0.186 0.163 0.504  1.77
Ni4 0.099 0.004 0.337  1.77
Ni5 0.686 0.504 0.163  1.77
Ni6 0.353 0.496 0.837  1.77
Ni7 0.940 0.663 0.996  1.77
Ni8 0.599 0.337 0.004  1.77
O1 0.845 0.649 0.641  0.02
O2 0.236 0.859 0.149  0.02
O3 0.244 0.141 0.851  0.02
O4 0.135 0.351 0.359  0.02
O5 0.744 0.851 0.141  0.02
O6 0.736 0.149 0.859  0.02
O7 0.345 0.641 0.649  0.02
O8 0.635 0.359 0.351  0.02
O9 0.172 0.671 0.007  0.03
O10 0.929 0.493 0.171  0.03
O11 0.593 0.507 0.829  0.03
O12 0.850 0.329 0.993  0.03
O13 0.093 0.829 0.507  0.03
O14 0.429 0.171 0.493  0.03
O15 0.672 0.007 0.671  0.03
O16 0.350 0.993 0.329  0.03
O17 0.123 0.476 0.839  0.03
O18 0.712 0.661 0.976  0.03
O19 0.349 0.339 0.024  0.03
O20 0.438 0.524 0.161  0.03
O21 0.849 0.024 0.339  0.03
O22 0.212 0.976 0.661  0.03
O23 0.623 0.839 0.476  0.03
O24 0.938 0.161 0.524  0.03
O25 0.471 0.830 0.826  0.02
O26 0.048 0.674 0.330  0.02
O27 0.051 0.326 0.670  0.02
O28 0.128 0.170 0.174  0.02
O29 0.551 0.670 0.326  0.02
O30 0.548 0.330 0.674  0.02
O31 0.971 0.826 0.830  0.02
O32 0.628 0.174 0.170  0.02

For the density of states at the Fermi level, the calculation gives 0.0000 states/eV per atom. The total DFT energy (no corrections) comes out at -344.4 eV for the cell shown.